1.
DFT (GGA-PBE) results for crystalline MgNpRuO6 at its relaxed geometry.

Space-group type: P-31c (163)
E, eV/f.u.: -71.64
E_form (uncorrected), eV per atom: -2.0086
DOS at the Fermi energy, states/eV per cell: 17.7

a = 5.264 Å, b = 5.264 Å, c = 8.830 Å
α = 90.00°, β = 90.00°, γ = 120.00°
Sites, in units of the cell vectors:
Mg 0.333 0.667 0.250
Mg 0.667 0.333 0.750
Np 0.333 0.667 0.750
Np 0.667 0.333 0.250
Ru 0.000 0.000 0.000
Ru 0.000 0.000 0.500
O 0.005 0.324 0.626
O 0.005 0.681 0.874
O 0.319 0.324 0.874
O 0.319 0.995 0.626
O 0.324 0.005 0.126
O 0.324 0.319 0.374
O 0.676 0.681 0.626
O 0.676 0.995 0.874
O 0.681 0.005 0.374
O 0.681 0.676 0.126
O 0.995 0.319 0.126
O 0.995 0.676 0.374

2.
DFT (GGA-PBE) results for crystalline MgNpSc2O8 at its relaxed geometry.

Space-group type: P2/m (10)
E, eV/f.u.: -99.93
E_form (uncorrected), eV per atom: -2.7555
DOS at the Fermi energy, states/eV per cell: 6.5

a = 4.861 Å, b = 6.488 Å, c = 4.862 Å
α = 90.00°, β = 90.94°, γ = 90.00°
Sites, in units of the cell vectors:
Mg 0.000 0.000 0.000
Np 0.000 0.500 0.000
Sc 0.500 0.236 0.500
Sc 0.500 0.764 0.500
O 0.193 0.265 0.809
O 0.193 0.735 0.809
O 0.296 0.500 0.298
O 0.302 0.000 0.303
O 0.698 0.000 0.697
O 0.704 0.500 0.702
O 0.807 0.265 0.191
O 0.807 0.735 0.191

3.
DFT (GGA-PBE) results for crystalline MgNpSi2O8 at its relaxed geometry.

Space-group type: I-4m2 (119)
E, eV/f.u.: -96.27
E_form (uncorrected), eV per atom: -2.6023
DOS at the Fermi energy, states/eV per cell: 6.3

a = 5.638 Å, b = 5.638 Å, c = 5.638 Å
α = 107.15°, β = 107.15°, γ = 114.22°
Sites, in units of the cell vectors:
Mg 0.000 0.000 0.000
Np 0.250 0.750 0.500
Si 0.500 0.500 0.000
Si 0.750 0.250 0.500
O 0.330 0.141 0.812
O 0.330 0.518 0.188
O 0.387 0.073 0.315
O 0.482 0.670 0.812
O 0.758 0.073 0.685
O 0.859 0.670 0.188
O 0.927 0.242 0.315
O 0.927 0.613 0.685